(1)
VASP calculation (GGA-PBE) on a geometry-optimized Lu3Zr5H12 structure.

Cell lengths 10.5690, 10.5690, 10.5690 Å; angles 109.47, 109.47, 109.47 degrees
Last column: nearest neighbours and their distance in Å.
Sites, in units of the cell vectors:
Lu (0.1250, 0.2500, 0.3750)  8 H 2.15-2.25
Lu (0.1250, 0.3750, 0.7500)  8 H 2.15-2.25
Lu (0.2500, 0.3750, 0.1250)  8 H 2.15-2.25
Lu (0.2500, 0.8750, 0.6250)  8 H 2.15-2.25
Lu (0.3750, 0.1250, 0.2500)  8 H 2.15-2.25
Lu (0.3750, 0.7500, 0.1250)  8 H 2.15-2.25
Lu (0.6250, 0.2500, 0.8750)  8 H 2.15-2.25
Lu (0.6250, 0.8750, 0.7500)  8 H 2.15-2.25
Lu (0.7500, 0.1250, 0.3750)  8 H 2.15-2.25
Lu (0.7500, 0.6250, 0.8750)  8 H 2.15-2.25
Lu (0.8750, 0.6250, 0.2500)  8 H 2.15-2.25
Lu (0.8750, 0.7500, 0.6250)  8 H 2.15-2.25
Zr (0.0000, 0.0000, 0.0000)  6 H 2.05
Zr (0.0000, 0.0000, 0.5000)  6 H 2.05
Zr (0.0000, 0.5000, 0.0000)  6 H 2.05
Zr (0.0000, 0.5000, 0.5000)  6 H 2.05
Zr (0.1250, 0.7500, 0.8750)  4 H 2.04
Zr (0.1250, 0.8750, 0.2500)  4 H 2.04
Zr (0.2500, 0.1250, 0.8750)  4 H 2.04
Zr (0.2500, 0.6250, 0.3750)  4 H 2.04
Zr (0.3750, 0.2500, 0.6250)  4 H 2.04
Zr (0.3750, 0.6250, 0.7500)  4 H 2.04
Zr (0.5000, 0.0000, 0.0000)  6 H 2.05
Zr (0.5000, 0.0000, 0.5000)  6 H 2.05
Zr (0.5000, 0.5000, 0.0000)  6 H 2.05
Zr (0.5000, 0.5000, 0.5000)  6 H 2.05
Zr (0.6250, 0.3750, 0.2500)  4 H 2.04
Zr (0.6250, 0.7500, 0.3750)  4 H 2.04
Zr (0.7500, 0.3750, 0.6250)  4 H 2.04
Zr (0.7500, 0.8750, 0.1250)  4 H 2.04
Zr (0.8750, 0.1250, 0.7500)  4 H 2.04
Zr (0.8750, 0.2500, 0.1250)  4 H 2.04
H (0.0616, 0.2212, 0.1472)  2 Zr 2.04-2.05, 2 Lu 2.15-2.25, 1 H 2.26
H (0.0616, 0.3404, 0.9144)  2 Zr 2.04-2.05, 2 Lu 2.15-2.25, 1 H 2.26
H (0.0740, 0.7212, 0.6596)  2 Zr 2.04-2.05, 2 Lu 2.15-2.25, 1 H 2.26
H (0.0740, 0.8528, 0.4144)  2 Zr 2.04-2.05, 2 Lu 2.15-2.25, 1 H 2.26
H (0.0856, 0.6472, 0.4260)  2 Zr 2.04-2.05, 2 Lu 2.15-2.25, 1 H 2.26
H (0.0856, 0.9384, 0.6596)  2 Zr 2.04-2.05, 2 Lu 2.15-2.25, 1 H 2.26
H (0.1472, 0.0616, 0.2212)  2 Zr 2.04-2.05, 2 Lu 2.15-2.25, 1 H 2.26
H (0.1472, 0.5856, 0.9260)  2 Zr 2.04-2.05, 2 Lu 2.15-2.25, 1 H 2.26
H (0.1596, 0.2212, 0.5740)  2 Zr 2.04-2.05, 2 Lu 2.15-2.25, 1 H 2.26
H (0.1596, 0.4384, 0.5856)  2 Zr 2.04-2.05, 2 Lu 2.15-2.25, 1 H 2.26
H (0.2212, 0.1472, 0.0616)  2 Zr 2.04-2.05, 2 Lu 2.15-2.25, 1 H 2.26
H (0.2212, 0.5740, 0.1596)  2 Zr 2.04-2.05, 2 Lu 2.15-2.25, 1 H 2.26
H (0.2788, 0.3404, 0.9260)  2 Zr 2.04-2.05, 2 Lu 2.15-2.25, 1 H 2.26
H (0.2788, 0.4384, 0.3528)  2 Zr 2.04-2.05, 2 Lu 2.15-2.25, 1 H 2.26
H (0.3404, 0.9144, 0.0616)  2 Zr 2.04-2.05, 2 Lu 2.15-2.25, 1 H 2.26
H (0.3404, 0.9260, 0.2788)  2 Zr 2.04-2.05, 2 Lu 2.15-2.25, 1 H 2.26
H (0.3528, 0.2788, 0.4384)  2 Zr 2.04-2.05, 2 Lu 2.15-2.25, 1 H 2.26
H (0.3528, 0.5740, 0.9144)  2 Zr 2.04-2.05, 2 Lu 2.15-2.25, 1 H 2.26
H (0.4144, 0.0740, 0.8528)  2 Zr 2.04-2.05, 2 Lu 2.15-2.25, 1 H 2.26
H (0.4144, 0.8404, 0.5616)  2 Zr 2.04-2.05, 2 Lu 2.15-2.25, 1 H 2.26
H (0.4260, 0.0856, 0.6472)  2 Zr 2.04-2.05, 2 Lu 2.15-2.25, 1 H 2.26
H (0.4260, 0.8404, 0.7788)  2 Zr 2.04-2.05, 2 Lu 2.15-2.25, 1 H 2.26
H (0.4384, 0.3528, 0.2788)  2 Zr 2.04-2.05, 2 Lu 2.15-2.25, 1 H 2.26
H (0.4384, 0.5856, 0.1596)  2 Zr 2.04-2.05, 2 Lu 2.15-2.25, 1 H 2.26
H (0.5616, 0.4144, 0.8404)  2 Zr 2.04-2.05, 2 Lu 2.15-2.25, 1 H 2.26
H (0.5616, 0.6472, 0.7212)  2 Zr 2.04-2.05, 2 Lu 2.15-2.25, 1 H 2.26
H (0.5740, 0.1596, 0.2212)  2 Zr 2.04-2.05, 2 Lu 2.15-2.25, 1 H 2.26
H (0.5740, 0.9144, 0.3528)  2 Zr 2.04-2.05, 2 Lu 2.15-2.25, 1 H 2.26
H (0.5856, 0.1596, 0.4384)  2 Zr 2.04-2.05, 2 Lu 2.15-2.25, 1 H 2.26
H (0.5856, 0.9260, 0.1472)  2 Zr 2.04-2.05, 2 Lu 2.15-2.25, 1 H 2.26
H (0.6472, 0.4260, 0.0856)  2 Zr 2.04-2.05, 2 Lu 2.15-2.25, 1 H 2.26
H (0.6472, 0.7212, 0.5616)  2 Zr 2.04-2.05, 2 Lu 2.15-2.25, 1 H 2.26
H (0.6596, 0.0740, 0.7212)  2 Zr 2.04-2.05, 2 Lu 2.15-2.25, 1 H 2.26
H (0.6596, 0.0856, 0.9384)  2 Zr 2.04-2.05, 2 Lu 2.15-2.25, 1 H 2.26
H (0.7212, 0.5616, 0.6472)  2 Zr 2.04-2.05, 2 Lu 2.15-2.25, 1 H 2.26
H (0.7212, 0.6596, 0.0740)  2 Zr 2.04-2.05, 2 Lu 2.15-2.25, 1 H 2.26
H (0.7788, 0.4260, 0.8404)  2 Zr 2.04-2.05, 2 Lu 2.15-2.25, 1 H 2.26
H (0.7788, 0.8528, 0.9384)  2 Zr 2.04-2.05, 2 Lu 2.15-2.25, 1 H 2.26
H (0.8404, 0.5616, 0.4144)  2 Zr 2.04-2.05, 2 Lu 2.15-2.25, 1 H 2.26
H (0.8404, 0.7788, 0.4260)  2 Zr 2.04-2.05, 2 Lu 2.15-2.25, 1 H 2.26
H (0.8528, 0.4144, 0.0740)  2 Zr 2.04-2.05, 2 Lu 2.15-2.25, 1 H 2.26
H (0.8528, 0.9384, 0.7788)  2 Zr 2.04-2.05, 2 Lu 2.15-2.25, 1 H 2.26
H (0.9144, 0.0616, 0.3404)  2 Zr 2.04-2.05, 2 Lu 2.15-2.25, 1 H 2.26
H (0.9144, 0.3528, 0.5740)  2 Zr 2.04-2.05, 2 Lu 2.15-2.25, 1 H 2.26
H (0.9260, 0.1472, 0.5856)  2 Zr 2.04-2.05, 2 Lu 2.15-2.25, 1 H 2.26
H (0.9260, 0.2788, 0.3404)  2 Zr 2.04-2.05, 2 Lu 2.15-2.25, 1 H 2.26
H (0.9384, 0.6596, 0.0856)  2 Zr 2.04-2.05, 2 Lu 2.15-2.25, 1 H 2.26
H (0.9384, 0.7788, 0.8528)  2 Zr 2.04-2.05, 2 Lu 2.15-2.25, 1 H 2.26

Calculated values
DFT total energy: -424.4 eV/cell
D(E_F): 23.32 states/eV/cell
Magnetic moment: 0.0 μB per formula unit
Theoretical density: 7.26 g cm⁻³

---

(2)
VASP calculation (GGA-PBE) on a geometry-optimized LuZrH2 structure.

Cell lengths 3.3292, 3.3292, 16.4016 Å; angles 90.00, 90.00, 120.00 degrees
Last column: nearest neighbours and their distance in Å.
Sites, in units of the cell vectors:
Lu (0.0000, 0.0000, 0.0000)  6 H 2.54
Lu (0.3333, 0.6667, 0.6667)  6 H 2.54
Lu (0.6667, 0.3333, 0.3333)  6 H 2.54
Zr (0.0000, 0.0000, 0.5000)  6 H 2.20
Zr (0.3333, 0.6667, 0.1667)  6 H 2.20
Zr (0.6667, 0.3333, 0.8333)  6 H 2.20
H (0.0000, 0.0000, 0.2320)  3 Zr 2.20
H (0.0000, 0.0000, 0.7680)  3 Zr 2.20
H (0.3333, 0.6667, 0.4347)  3 Zr 2.20
H (0.3333, 0.6667, 0.8987)  3 Zr 2.20
H (0.6667, 0.3333, 0.1013)  3 Zr 2.20
H (0.6667, 0.3333, 0.5653)  3 Zr 2.20

Calculated values
DFT total energy: -63.3 eV/cell
D(E_F): 10.40 states/eV/cell
Magnetic moment: 0.0 μB per formula unit
Theoretical density: 8.49 g cm⁻³

---

(3)
VASP calculation (GGA-PBE) on a geometry-optimized LuZr3H structure.

Cell lengths 4.6129, 4.6129, 4.6129 Å; angles 90.00, 90.00, 90.00 degrees
Last column: nearest neighbours and their distance in Å.
Sites, in units of the cell vectors:
Lu (0.0000, 0.0000, 0.0000)  12 Zr 3.26
Zr (0.0000, 0.5000, 0.5000)  2 H 2.31
Zr (0.5000, 0.0000, 0.5000)  2 H 2.31
Zr (0.5000, 0.5000, 0.0000)  2 H 2.31
H (0.5000, 0.5000, 0.5000)  6 Zr 2.31

Calculated values
DFT total energy: -34.0 eV/cell
D(E_F): 6.00 states/eV/cell
Magnetic moment: 0.0 μB per formula unit
Theoretical density: 7.61 g cm⁻³

---

(4)
VASP calculation (GGA-PBE) on a geometry-optimized Mg2H7 structure.

Cell lengths 4.2807, 4.2807, 4.2807 Å; angles 60.00, 60.00, 60.00 degrees
Last column: nearest neighbours and their distance in Å.
Sites, in units of the cell vectors:
Mg (0.2500, 0.2500, 0.2500)  12 H 2.14
Mg (0.7500, 0.7500, 0.7500)  12 H 2.14
H (0.0000, 0.0000, 0.0000)  6 H 1.56
H (0.2571, 0.2571, 0.7429)  1 H 1.56
H (0.2571, 0.7429, 0.2571)  1 H 1.56
H (0.2571, 0.7429, 0.7429)  1 H 1.56
H (0.7429, 0.2571, 0.2571)  1 H 1.56
H (0.7429, 0.2571, 0.7429)  1 H 1.56
H (0.7429, 0.7429, 0.2571)  1 H 1.56

Calculated values
DFT total energy: -22.5 eV/cell
D(E_F): 1.73 states/eV/cell
Magnetic moment: 0.0 μB per formula unit
Theoretical density: 1.67 g cm⁻³

---

(5)
VASP calculation (GGA-PBE) on a geometry-optimized Mg4H structure.

Cell lengths 4.5145, 4.5145, 4.5145 Å; angles 90.00, 90.00, 90.00 degrees
Last column: nearest neighbours and their distance in Å.
Sites, in units of the cell vectors:
Mg (0.0000, 0.0000, 0.0000)  12 Mg 3.19
Mg (0.0000, 0.5000, 0.5000)  2 H 2.26
Mg (0.5000, 0.0000, 0.5000)  2 H 2.26
Mg (0.5000, 0.5000, 0.0000)  2 H 2.26
H (0.5000, 0.5000, 0.5000)  6 Mg 2.26

Calculated values
DFT total energy: -9.3 eV/cell
D(E_F): 3.57 states/eV/cell
Magnetic moment: 0.0 μB per formula unit
Theoretical density: 1.77 g cm⁻³

---

(6)
VASP calculation (GGA-PBE) on a geometry-optimized Mg8H structure.

Cell lengths 6.3952, 6.3952, 5.1857 Å; angles 90.00, 90.00, 120.00 degrees
Last column: nearest neighbours and their distance in Å.
Sites, in units of the cell vectors:
Mg (0.1668, 0.3336, 0.2456)  1 H 2.27
Mg (0.1668, 0.8332, 0.2456)  1 H 2.27
Mg (0.3333, 0.6667, 0.7431)  12 Mg 3.17-3.20
Mg (0.3336, 0.1668, 0.7544)  1 H 2.27
Mg (0.6664, 0.8332, 0.2456)  1 H 2.27
Mg (0.6667, 0.3333, 0.2569)  12 Mg 3.17-3.20
Mg (0.8332, 0.1668, 0.7544)  1 H 2.27
Mg (0.8332, 0.6664, 0.7544)  1 H 2.27
H (0.0000, 0.0000, 0.5000)  6 Mg 2.27

Calculated values
DFT total energy: -15.8 eV/cell
D(E_F): 5.12 states/eV/cell
Magnetic moment: 0.0 μB per formula unit
Theoretical density: 1.77 g cm⁻³

---

(7)
VASP calculation (GGA-PBE) on a geometry-optimized Mg2MnH structure.

Cell lengths 6.4586, 6.4586, 6.4586 Å; angles 90.00, 90.00, 90.00 degrees
Last column: nearest neighbours and their distance in Å.
Sites, in units of the cell vectors:
Mg (0.2500, 0.2500, 0.2500)  4 H 2.80, 4 Mn 2.80
Mg (0.2500, 0.2500, 0.7500)  4 H 2.80, 4 Mn 2.80
Mg (0.2500, 0.7500, 0.2500)  4 H 2.80, 4 Mn 2.80
Mg (0.2500, 0.7500, 0.7500)  4 H 2.80, 4 Mn 2.80
Mg (0.7500, 0.2500, 0.2500)  4 H 2.80, 4 Mn 2.80
Mg (0.7500, 0.2500, 0.7500)  4 H 2.80, 4 Mn 2.80
Mg (0.7500, 0.7500, 0.2500)  4 H 2.80, 4 Mn 2.80
Mg (0.7500, 0.7500, 0.7500)  4 H 2.80, 4 Mn 2.80
Mn (0.0000, 0.0000, 0.0000)  8 Mg 2.80
Mn (0.0000, 0.5000, 0.5000)  8 Mg 2.80
Mn (0.5000, 0.0000, 0.5000)  8 Mg 2.80
Mn (0.5000, 0.5000, 0.0000)  8 Mg 2.80
H (0.0000, 0.0000, 0.5000)  8 Mg 2.80
H (0.0000, 0.5000, 0.0000)  8 Mg 2.80
H (0.5000, 0.0000, 0.0000)  8 Mg 2.80
H (0.5000, 0.5000, 0.5000)  8 Mg 2.80

Calculated values
D(E_F): 9.20 states/eV/cell
Magnetic moment: 3.8 μB per formula unit
Energy above the most stable polymorph in this dataset: 317 meV/atom
Theoretical density: 2.58 g cm⁻³

---

(8)
VASP calculation (GGA-PBE) on a geometry-optimized MgMnH2 structure.

Cell lengths 2.9235, 2.9235, 14.1042 Å; angles 90.00, 90.00, 120.00 degrees
Last column: nearest neighbours and their distance in Å.
Sites, in units of the cell vectors:
Mg (0.0000, 0.0000, 0.0000)  6 H 2.37
Mg (0.3333, 0.6667, 0.6667)  6 H 2.37
Mg (0.6667, 0.3333, 0.3333)  6 H 2.37
Mn (0.0000, 0.0000, 0.5000)  6 H 1.82
Mn (0.3333, 0.6667, 0.1667)  6 H 1.82
Mn (0.6667, 0.3333, 0.8333)  6 H 1.82
H (0.0000, 0.0000, 0.2153)  3 Mn 1.82
H (0.0000, 0.0000, 0.7847)  3 Mn 1.82
H (0.3333, 0.6667, 0.4514)  3 Mn 1.82
H (0.3333, 0.6667, 0.8819)  3 Mn 1.82
H (0.6667, 0.3333, 0.1181)  3 Mn 1.82
H (0.6667, 0.3333, 0.5486)  3 Mn 1.82

Calculated values
DFT total energy: -52.2 eV/cell
D(E_F): 4.10 states/eV/cell
Magnetic moment: 2.2 μB per formula unit
Theoretical density: 3.88 g cm⁻³